Computed, not measured: crystalline CoAg2PdF6 at its relaxed geometry at the GGA+U level of DFT.

It has space group P-1 (No. 2), with a = 4.9415 Å, b = 5.5315 Å, c = 5.9948 Å, α = 63.78°, β = 74.47° and γ = 89.08°. The distinct sites, in fractional coordinates, are Co at (0.0000, 0.0000, 0.0000), Ag at (0.2658, 0.7189, 0.5433), Pd at (0.5000, 0.5000, 0.0000), F at (0.1412, 0.6113, 0.1659), F at (0.2520, 0.1223, 0.6419) and F at (0.2861, 0.1415, 0.1169).

The calculation puts the energy at -41.0 eV/cell.